12
Lattice="2.845 0.000 0.000 0.000 4.903 0.000 0.000 0.000 13.073" Properties=species:S:1:pos:R:3 comment="AsOsRu (PBE-GGA, optimized geometry)" formation_energy_kj_per_mol_atoms=61.3 de_polymorph_ev_per_atom=0.398 dos_ef_per_ev_atom=1.44 total_energy_ev_per_atom=-7.750 pbc="T T T"
As 0.000 0.000 0.000
As 0.000 2.452 6.536
As 1.423 0.000 6.536
As 1.423 2.452 0.000
Os 0.000 0.000 4.331
Os 0.000 2.452 10.868
Os 1.423 0.000 10.868
Os 1.423 2.452 4.331
Ru 0.000 0.000 8.686
Ru 0.000 2.452 2.150
Ru 1.423 0.000 2.150
Ru 1.423 2.452 8.686